# BaNiN | Alexandria via LeMat-Bulk | GGA-PBEsol | optimized geometry
# theoretical density: 6.0 g/cm3
# formation energy (no corrections): -0.5479 eV/atom
# density of states at the Fermi level: 0.517 states/eV per atom
data_BaNiN
_chemical_formula_sum 'Ba12 Ni12 N12'
_space_group_name_H-M_alt 'P n m a'
_space_group_IT_number 62
_cell_length_a 9.598
_cell_length_b 13.529
_cell_length_c 5.354
_cell_angle_alpha 90.00
_cell_angle_beta 90.00
_cell_angle_gamma 90.00
loop_
_space_group_symop_operation_xyz
'x,y,z'
'-x,-y,-z'
'-x+1/2,-y,z+1/2'
'x+1/2,y,-z+1/2'
'x+1/2,-y+1/2,-z+1/2'
'-x+1/2,y+1/2,z+1/2'
'-x,y+1/2,-z'
'x,-y+1/2,z'
loop_
_atom_site_label
_atom_site_type_symbol
_atom_site_fract_x
_atom_site_fract_y
_atom_site_fract_z
Ba1 Ba 0.006 0.250 0.020
Ba2 Ba 0.174 0.088 0.472
Ni1 Ni 0.000 0.000 0.000
Ni2 Ni 0.144 0.662 0.441
N1 N 0.072 0.577 0.227
N2 N 0.220 0.750 0.655

***

# AgBr2 | Alexandria via LeMat-Bulk | GGA-PBEsol | optimized geometry
# theoretical density: 5.6 g/cm3
# formation energy (no corrections): -0.1827 eV/atom
# density of states at the Fermi level: 1.032 states/eV per atom
data_AgBr2
_chemical_formula_sum 'Ag2 Br4'
_space_group_name_H-M_alt 'P n n m'
_space_group_IT_number 58
_cell_length_a 6.185
_cell_length_b 6.278
_cell_length_c 4.060
_cell_angle_alpha 90.00
_cell_angle_beta 90.00
_cell_angle_gamma 90.00
loop_
_space_group_symop_operation_xyz
'x,y,z'
'-x,-y,-z'
'-x,-y,z'
'x,y,-z'
'x+1/2,-y+1/2,-z+1/2'
'-x+1/2,y+1/2,z+1/2'
'-x+1/2,y+1/2,-z+1/2'
'x+1/2,-y+1/2,z+1/2'
loop_
_atom_site_label
_atom_site_type_symbol
_atom_site_fract_x
_atom_site_fract_y
_atom_site_fract_z
Ag1 Ag 0.000 0.000 0.000
Br1 Br 0.206 0.192 0.500

***

# Zn3CdSe | Alexandria via LeMat-Bulk | GGA-PBEsol | optimized geometry
# theoretical density: 5.6 g/cm3
# formation energy (no corrections): 0.4815 eV/atom
# density of states at the Fermi level: 0.488 states/eV per atom
data_Zn3CdSe
_chemical_formula_sum 'Zn3 Cd1 Se1'
_space_group_name_H-M_alt 'P m -3 m'
_space_group_IT_number 221
_space_group_name_Hall '-P 4 2 3'
_cell_length_a 4.872
_cell_length_b 4.872
_cell_length_c 4.872
_cell_angle_alpha 90.00
_cell_angle_beta 90.00
_cell_angle_gamma 90.00
loop_
_atom_site_label
_atom_site_type_symbol
_atom_site_fract_x
_atom_site_fract_y
_atom_site_fract_z
Zn1 Zn 0.000 0.000 0.500
Cd1 Cd 0.500 0.500 0.500
Se1 Se 0.000 0.000 0.000

***

> theoretical density of number 3 (Zn3CdSe)?

5.6 g/cm3

***

Please write out number 3 again, unchanged.
# Zn3CdSe | Alexandria via LeMat-Bulk | GGA-PBEsol | optimized geometry
# theoretical density: 5.6 g/cm3
# formation energy (no corrections): 0.4815 eV/atom
# density of states at the Fermi level: 0.488 states/eV per atom
data_Zn3CdSe
_chemical_formula_sum 'Zn3 Cd1 Se1'
_space_group_name_H-M_alt 'P m -3 m'
_space_group_IT_number 221
_space_group_name_Hall '-P 4 2 3'
_cell_length_a 4.872
_cell_length_b 4.872
_cell_length_c 4.872
_cell_angle_alpha 90.00
_cell_angle_beta 90.00
_cell_angle_gamma 90.00
loop_
_atom_site_label
_atom_site_type_symbol
_atom_site_fract_x
_atom_site_fract_y
_atom_site_fract_z
Zn1 Zn 0.000 0.000 0.500
Cd1 Cd 0.500 0.500 0.500
Se1 Se 0.000 0.000 0.000

***

> What is the formula in the first record?

BaNiN

***

> What is the formula in the second record?

AgBr2